Material: SiP3
Method: DFT, GGA-PBE
State: relaxed

Cell: 3.0535 4.1977 8.8900 Å, 90.00 90.00 90.00°
Last column: nearest neighbours and their distance in Å.
Space group Cmmm (No. 65)
One atom of each set of equivalent atoms:
Si 0.0000 0.0000 0.0000 [2 per cell]  4 Si 2.60, 4 P 2.66
P 0.0000 0.0000 0.5000 [2 per cell]  8 P 2.60-2.73
P 0.0000 0.5000 0.2454 [4 per cell]  6 P 2.60-2.73, 2 Si 2.66

Results
Crystal system = orthorhombic
Formation energy from raw total energies = 648 meV/atom